[1]
Computed, not measured: a relaxed LiLaO2 crystal at the PBE level of DFT.

Calculated values
E_form (uncorrected)	-2550	meV per atom
DFT total energy	-80.874	eV for the cell shown

abc: 3.6363 3.6363 18.2638
angles: 90.00 90.00 120.00
Space group R3m (No. 160, hexagonal axes)
Unique sites:
1 Li 0.0000 0.0000 0.0000 [3 per cell]
2 La 0.0000 0.0000 0.2026 [3 per cell]
3 O 0.0000 0.0000 0.6173 [3 per cell]
4 O 0.0000 0.0000 0.8149 [3 per cell]


[2]
Computed, not measured: a relaxed Li2La4O7 crystal at the PBE level of DFT.

Calculated values
E_form (uncorrected)	-2626	meV per atom
DFT total energy	-92.387	eV for the cell shown

abc: 6.3588 6.3588 7.5078
angles: 90.00 90.00 120.00
Space group P-31m (No. 162)
Unique sites:
1 Li 0.3333 0.6667 0.0000 [2 per cell]
2 La 0.0000 0.0000 0.2776 [2 per cell]
3 La 0.3333 0.6667 0.5000 [2 per cell]
4 O 0.0000 0.0000 0.0000 [1 per cell]
5 O 0.0000 0.3653 0.6808 [6 per cell]


[3]
Computed, not measured: a relaxed LiLa2O crystal at the PBE level of DFT.

Calculated values
E_form (uncorrected)	-1134	meV per atom
DFT total energy	-63.788	eV for the cell shown

abc: 3.6471 3.6471 28.9360
angles: 90.00 90.00 120.00
Space group R-3m (No. 166, hexagonal axes)
Unique sites:
1 Li 0.0000 0.0000 0.0000 [3 per cell]
2 La 0.0000 0.0000 0.1178 [6 per cell]
3 O 0.0000 0.0000 0.5000 [3 per cell]


[4]
Computed, not measured: a relaxed Li2La4O crystal at the PBE level of DFT.

Calculated values
E_form (uncorrected)	-631	meV per atom
DFT total energy	-65.827	eV for the cell shown

abc: 5.0940 5.0940 15.2671
angles: 90.00 90.00 90.00
Space group I4/mmm (No. 139)
Unique sites:
1 Li 0.0000 0.0000 0.1271 [4 per cell]
2 La 0.0000 0.0000 0.3302 [4 per cell]
3 La 0.0000 0.5000 0.0000 [4 per cell]
4 O 0.0000 0.0000 0.5000 [2 per cell]


[5]
Computed, not measured: a relaxed LiLa2OsO6 crystal at the PBE level of DFT.

Calculated values
E_form (uncorrected)	-2460	meV per atom
relative energy among the computed polymorphs	0.000	eV per atom
DFT total energy	-154.686	eV for the cell shown

abc: 5.5796 5.8201 9.6581
angles: 90.00 125.00 90.00
Space group P2_1/c (No. 14)
Unique sites:
1 Li 0.0000 0.0000 0.0000 [2 per cell]
2 La 0.2362 0.0597 0.7487 [4 per cell]
3 Os 0.5000 0.0000 0.5000 [2 per cell]
4 O 0.1648 0.1896 0.4545 [4 per cell]
5 O 0.2637 0.7151 0.4496 [4 per cell]
6 O 0.3491 0.0287 0.2577 [4 per cell]


[6]
Computed, not measured: a relaxed LiLa2OsO6 crystal at the PBE level of DFT.

Calculated values
E_form (uncorrected)	-2440	meV per atom
relative energy among the computed polymorphs	0.019	eV per atom
DFT total energy	-154.296	eV for the cell shown

abc: 9.8117 5.5672 5.6704
angles: 90.00 125.20 90.00
Space group C2/m (No. 12)
Unique sites:
1 Li 0.0000 0.0000 0.0000 [2 per cell]
2 La 0.2489 0.5000 0.2626 [4 per cell]
3 Os 0.0000 0.5000 0.5000 [2 per cell]
4 O 0.0545 0.2544 0.3132 [8 per cell]
5 O 0.2380 0.5000 0.8342 [4 per cell]


[7]
Computed, not measured: a relaxed LiLaOs2O8 crystal at the PBE level of DFT.

Calculated values
E_form (uncorrected)	-1529	meV per atom
DFT total energy	-174.625	eV for the cell shown

abc: 5.3488 5.3488 11.5312
angles: 90.00 90.00 90.00
Space group I-4 (No. 82)
Unique sites:
1 Li 0.0000 0.0000 0.0000 [2 per cell]
2 La 0.0000 0.5000 0.7500 [2 per cell]
3 Os 0.0000 0.0000 0.5000 [2 per cell]
4 Os 0.0000 0.5000 0.2500 [2 per cell]
5 O 0.1527 0.7444 0.1658 [8 per cell]
6 O 0.1574 0.2406 0.5840 [8 per cell]


[8]
Computed, not measured: a relaxed LiLaP2O crystal at the PBE level of DFT.

Calculated values
E_form (uncorrected)	-209	meV per atom
relative energy among the computed polymorphs	0.358	eV per atom
DFT total energy	-23.663	eV for the cell shown

abc: 5.8178 5.8178 4.3460
angles: 90.00 90.00 90.00
Space group P4/mmm (No. 123)
Unique sites:
1 Li 0.0000 0.0000 0.0000 [1 per cell]
2 La 0.5000 0.5000 0.5000 [1 per cell]
3 P 0.0000 0.5000 0.5000 [2 per cell]
4 O 0.5000 0.5000 0.0000 [1 per cell]


[9]
Computed, not measured: a relaxed LiLaPO2 crystal at the PBE level of DFT.

Calculated values
E_form (uncorrected)	-898	meV per atom
relative energy among the computed polymorphs	0.138	eV per atom
DFT total energy	-26.656	eV for the cell shown

abc: 4.4238 4.4238 6.2041
angles: 90.00 90.00 90.00
Space group P4/mmm (No. 123)
Unique sites:
1 Li 0.0000 0.0000 0.0000 [1 per cell]
2 La 0.5000 0.5000 0.5000 [1 per cell]
3 P 0.5000 0.5000 0.0000 [1 per cell]
4 O 0.0000 0.5000 0.5000 [2 per cell]


[10]
Computed, not measured: a relaxed LiLaP2O crystal at the PBE level of DFT.

Calculated values
E_form (uncorrected)	-566	meV per atom
relative energy among the computed polymorphs	0.000	eV per atom
DFT total energy	-25.451	eV for the cell shown

abc: 4.2098 4.2098 4.6409
angles: 90.00 90.00 90.00
Space group P4/mmm (No. 123)
Unique sites:
1 Li 0.0000 0.0000 0.0000 [1 per cell]
2 La 0.5000 0.5000 0.5000 [1 per cell]
3 P 0.0000 0.5000 0.0000 [2 per cell]
4 O 0.0000 0.0000 0.5000 [1 per cell]


[11]
Computed, not measured: a relaxed LiLaP2O6 crystal at the PBE level of DFT.

Calculated values
E_form (uncorrected)	-2195	meV per atom
DFT total energy	-208.084	eV for the cell shown

abc: 5.3302 5.3302 17.4612
angles: 90.00 90.00 120.00
Space group R-3 (No. 148, hexagonal axes)
Unique sites:
1 Li 0.0000 0.0000 0.0000 [3 per cell]
2 La 0.0000 0.0000 0.5000 [3 per cell]
3 P 0.0000 0.0000 0.2364 [6 per cell]
4 O 0.0038 0.2847 0.2579 [18 per cell]


[12]
Computed, not measured: a relaxed LiLaPO2 crystal at the PBE level of DFT.

Calculated values
E_form (uncorrected)	-1036	meV per atom
relative energy among the computed polymorphs	0.000	eV per atom
DFT total energy	-27.345	eV for the cell shown

abc: 4.1246 4.1246 4.0975
angles: 90.00 90.00 90.00
Space group P4/mmm (No. 123)
Unique sites:
1 Li 0.0000 0.0000 0.0000 [1 per cell]
2 La 0.5000 0.5000 0.5000 [1 per cell]
3 P 0.0000 0.0000 0.5000 [1 per cell]
4 O 0.0000 0.5000 0.0000 [2 per cell]